Below is a relaxed structure of LaMg2Tl2, with properties calculated at the PBE level.

Lattice parameters (Å, degrees): 8.9017 8.9017 3.4302 90.00 90.00 90.00
Closest atoms and distances in Å follow each position.
Element x y z (fractional)
La: 0.0000 0.0000 0.0000  4 Tl 3.41, 2 La 3.43, 8 Mg 3.79
La: 0.5000 0.5000 0.0000  4 Tl 3.41, 2 La 3.43, 8 Mg 3.79
Tl: 0.1448 0.3552 0.0000  6 Mg 3.09-3.15, 2 La 3.41, 2 Tl 3.43
Tl: 0.3552 0.8552 0.0000  6 Mg 3.09-3.15, 2 La 3.41, 2 Tl 3.43
Tl: 0.8552 0.6448 0.0000  6 Mg 3.09-3.15, 2 La 3.41, 2 Tl 3.43
Tl: 0.6448 0.1448 0.0000  6 Mg 3.09-3.15, 2 La 3.41, 2 Tl 3.43
Mg: 0.6513 0.8487 0.5000  6 Tl 3.09-3.15, 2 Mg 3.43
Mg: 0.3487 0.1513 0.5000  6 Tl 3.09-3.15, 2 Mg 3.43
Mg: 0.8487 0.3487 0.5000  6 Tl 3.09-3.15, 2 Mg 3.43
Mg: 0.1513 0.6513 0.5000  6 Tl 3.09-3.15, 2 Mg 3.43

## Properties
The value obtained for the total magnetization is 0.0 μB per formula unit. The value obtained for the calculated density is 7.3 Mg/m³. The energy above the lowest structure with this stoichiometry is 100.0 meV/atom. As for the formation enthalpy at 0 K: -0.147 eV per atom.

Below is a relaxed structure of Os2PbBr, with properties calculated at the PBE level.

Lattice parameters (Å, degrees): 4.5812 3.0720 5.4740 86.81 90.00 90.00
Closest atoms and distances in Å follow each position.
Element x y z (fractional)
Br: 0.5000 0.7500 0.7500  4 Os 2.64
Pb: 0.5000 0.2500 0.2500  4 Os 2.98, 4 Br 3.06-3.21, 2 Pb 3.07
Os: 0.0000 0.5278 0.5528  2 Os 2.62-2.68, 2 Br 2.64
Os: 0.0000 0.9722 0.9472  2 Os 2.62-2.68, 2 Br 2.64

## Properties
The value obtained for the total magnetization is 0.0 μB per formula unit. The value obtained for the calculated density is 14.4 Mg/m³. The energy above the lowest structure with this stoichiometry is 852.9 meV/atom. The formation energy from raw total energies is 1.342 eV per atom.

Below is a relaxed structure of ZrHg3C, with properties calculated at the PBE level.

Lattice parameters (Å, degrees): 4.6743 4.6743 4.6743 90.00 90.00 90.00
Closest atoms and distances in Å follow each position.
Element x y z (fractional)
Hg: 0.0000 0.5000 0.0000  2 C 2.34
Hg: 0.5000 0.0000 0.0000  2 C 2.34
Hg: 0.0000 0.0000 0.5000  2 C 2.34
Zr: 0.5000 0.5000 0.5000  12 Hg 3.31
C: 0.0000 0.0000 0.0000  6 Hg 2.34

## Properties
The value obtained for the total magnetization is 0.0 μB per formula unit. The value obtained for the calculated density is 11.5 Mg/m³. The energy above the lowest structure with this stoichiometry is 0.0 meV/atom. As for the formation enthalpy at 0 K: 1.126 eV per atom.

Below is a relaxed structure of PdRhN2, with properties calculated at the PBE level.

Lattice parameters (Å, degrees): 3.8884 3.8884 3.8884 60.00 60.00 60.00
Closest atoms and distances in Å follow each position.
Element x y z (fractional)
Pd: 0.5000 0.5000 0.5000  8 N 2.38
N: 0.7500 0.7500 0.7500  4 Pd 2.38, 4 Rh 2.38
N: 0.2500 0.2500 0.2500  4 Rh 2.38, 4 Pd 2.38
Rh: 0.0000 0.0000 0.0000  8 N 2.38

## Properties
The value obtained for the total magnetization is 0.3 μB per formula unit. The value obtained for the calculated density is 9.5 Mg/m³. The energy above the lowest structure with this stoichiometry is 770.0 meV/atom. The formation energy from raw total energies is 1.454 eV per atom.

no.,density of states at the Fermi level (states/eV/cell)
1,6.65
2,3.75
3,4.76
4,5.53